UTe2PbO8 | PBE | relaxed

Values from the calculation:
Electronic total energy = -329.6 eV/cell
Formation energy from raw total energies = -1.79 eV/atom
Total magnetization = 0.0 μB/cell

Cell lengths 7.0917, 7.9241, 14.2909 Å; angles 95.23, 90.00, 90.00 degrees
Last column: nearest neighbours and their distance in Å.
Fractional coordinates of all 48 atoms:
O (0.6753, 0.5278, 0.4577)  1 Te 1.90
O (0.3247, 0.4722, 0.5423)  1 Te 1.90
O (0.9688, 0.0784, 0.3437)  1 Te 1.93
O (0.8314, 0.9290, 0.1820)  1 Te 2.04
O (0.3408, 0.3961, 0.8572)  1 Te 1.89
O (0.5498, 0.2914, 0.0302)  1 Te 1.95
O (0.8408, 0.6039, 0.6428)  1 Te 1.89
O (0.4502, 0.7086, 0.9698)  1 Te 1.95
O (0.6534, 0.8385, 0.3522)  1 U 1.87
O (0.8247, 0.5278, 0.9577)  1 Te 1.90
O (0.8466, 0.8385, 0.8522)  1 U 1.87
O (0.1753, 0.4722, 0.0423)  1 Te 1.90
O (0.4688, 0.9216, 0.1563)  1 Te 1.93
O (0.1109, 0.8254, 0.0505)  1 Te 1.92
O (0.1686, 0.0710, 0.8180)  1 Te 2.04
O (0.3891, 0.8254, 0.5505)  1 Te 1.92
O (0.6620, 0.2658, 0.2584)  1 U 1.88
O (0.8891, 0.1746, 0.9495)  1 Te 1.92
O (0.3380, 0.7342, 0.7416)  1 U 1.88
O (0.3314, 0.0710, 0.3180)  1 Te 2.04
O (0.1592, 0.3961, 0.3572)  1 Te 1.89
O (0.8380, 0.2658, 0.7584)  1 U 1.88
O (0.1620, 0.7342, 0.2416)  1 U 1.88
O (0.3466, 0.1615, 0.6478)  1 U 1.87
O (0.6686, 0.9290, 0.6820)  1 Te 2.04
O (0.5312, 0.0784, 0.8437)  1 Te 1.93
O (0.0498, 0.7086, 0.4698)  1 Te 1.95
O (0.6109, 0.1746, 0.4495)  1 Te 1.92
O (0.9502, 0.2914, 0.5302)  1 Te 1.95
O (0.1534, 0.1615, 0.1478)  1 U 1.87
O (0.6592, 0.6039, 0.1428)  1 Te 1.89
O (0.0312, 0.9216, 0.6563)  1 Te 1.93
Te (0.3149, 0.6455, 0.4584)  3 O 1.90-1.95
Te (0.6851, 0.3545, 0.5416)  3 O 1.90-1.95
Te (0.6648, 0.8059, 0.0818)  3 O 1.89-2.04
Te (0.8149, 0.3545, 0.0416)  3 O 1.90-1.95
Te (0.1648, 0.1941, 0.4182)  3 O 1.89-2.04
Te (0.1851, 0.6455, 0.9584)  3 O 1.90-1.95
Te (0.8352, 0.8059, 0.5818)  3 O 1.89-2.04
Te (0.3352, 0.1941, 0.9182)  3 O 1.89-2.04
U (0.1547, 0.9466, 0.1923)  2 O 1.87-1.88
U (0.8453, 0.0534, 0.8077)  2 O 1.87-1.88
U (0.6547, 0.0534, 0.3077)  2 O 1.87-1.88
U (0.3453, 0.9466, 0.6923)  2 O 1.87-1.88
Pb (0.3693, 0.4261, 0.1708)  4 O 2.35-2.59
Pb (0.1307, 0.4261, 0.6708)  4 O 2.35-2.59
Pb (0.6307, 0.5739, 0.8292)  4 O 2.35-2.59
Pb (0.8693, 0.5739, 0.3292)  4 O 2.35-2.59